(1)
Material: LaTbY2
Method: DFT, PBE
State: relaxed

Lattice parameters (Å, degrees): 3.6374 3.6374 34.9470 90.00 90.00 120.00
Closest atoms and distances in Å follow each position.
Fractional positions:
La (0.0000, 0.0000, 0.0000)  6 Y 3.63-3.65, 6 La 3.64
La (0.3333, 0.6667, 0.6667)  6 Y 3.63-3.65, 6 La 3.64
La (0.6667, 0.3333, 0.3333)  6 Y 3.63-3.65, 6 La 3.64
Tb (0.0000, 0.0000, 0.8341)  6 Y 3.53-3.56, 6 Tb 3.64
Tb (0.3333, 0.6667, 0.5008)  6 Y 3.53-3.56, 6 Tb 3.64
Tb (0.6667, 0.3333, 0.1674)  6 Y 3.53-3.56, 6 Tb 3.64
Y (0.0000, 0.0000, 0.4186)  3 Tb 3.56, 6 Y 3.64, 3 La 3.65
Y (0.0000, 0.0000, 0.5819)  3 Tb 3.53, 3 La 3.63, 6 Y 3.64
Y (0.3333, 0.6667, 0.0853)  3 Tb 3.56, 6 Y 3.64, 3 La 3.65
Y (0.3333, 0.6667, 0.2486)  3 Tb 3.53, 3 La 3.63, 6 Y 3.64
Y (0.6667, 0.3333, 0.7520)  3 Tb 3.56, 6 Y 3.64, 3 La 3.65
Y (0.6667, 0.3333, 0.9153)  3 Tb 3.53, 3 La 3.63, 6 Y 3.64

Computed properties:
The value obtained for the density of states at the Fermi level is 20.1 states/eV per cell. The distance to the lowest polymorph of the same formula is 0 meV per atom. As for the final energy: -67.36 eV/cell. Its symmetry is R3m (160).

=====

(2)
Material: Dy5GaHg4
Method: DFT, PBE
State: relaxed

Lattice parameters (Å, degrees): 3.6871 3.6871 18.5303 90.00 90.00 90.00
Closest atoms and distances in Å follow each position.
Fractional positions:
Dy (0.0000, 0.0000, 0.0000)  8 Hg 3.22
Dy (0.0000, 0.0000, 0.2032)  8 Hg 3.21-3.22
Dy (0.0000, 0.0000, 0.4070)  4 Ga 3.13, 4 Hg 3.22, 1 Dy 3.45
Dy (0.0000, 0.0000, 0.5930)  4 Ga 3.13, 4 Hg 3.22, 1 Dy 3.45
Dy (0.0000, 0.0000, 0.7968)  8 Hg 3.21-3.22
Ga (0.5000, 0.5000, 0.5000)  8 Dy 3.13
Hg (0.5000, 0.5000, 0.1019)  8 Dy 3.21-3.22
Hg (0.5000, 0.5000, 0.3049)  8 Dy 3.22
Hg (0.5000, 0.5000, 0.6951)  8 Dy 3.22
Hg (0.5000, 0.5000, 0.8981)  8 Dy 3.21-3.22

Computed properties:
The value obtained for the density of states at the Fermi level is 9.0 states/eV per cell. As for the final energy: -32.23 eV/cell. Its symmetry is P4/mmm (123).

=====

What is the final energy in the second record? -32.23 eV/cell